*1*
A geometry-optimized Mg3Tl5 structure, computed with GGA-PBEsol.

The structure in POSCAR format:
```
Mg3Tl5
1.0
-4.662 4.124 -0.111
-1.859 -2.323 -8.194
-3.807 -4.124 6.670
Mg Tl
6 10
Direct
0.750 0.405 0.405 Mg
0.250 0.595 0.595 Mg
0.750 0.000 0.595 Mg
0.750 0.595 0.000 Mg
0.250 0.405 0.000 Mg
0.250 0.000 0.405 Mg
0.000 0.667 0.333 Tl
0.500 0.333 0.667 Tl
0.000 0.333 0.667 Tl
0.500 0.667 0.333 Tl
0.750 0.770 0.770 Tl
0.250 0.230 0.230 Tl
0.750 0.000 0.230 Tl
0.750 0.230 0.000 Tl
0.250 0.770 0.000 Tl
0.250 0.000 0.770 Tl
```

Output
SG = No. 193
calculated volume = 25.60 Å³ per atom



*2*
A geometry-optimized Mg3Tl5 structure, computed with GGA-PBEsol.

The structure in POSCAR format:
```
Mg3Tl5
1.0
-2.061 -0.705 -5.678
0.636 -8.353 -2.451
-8.546 -1.776 0.066
Mg Tl
6 10
Direct
0.750 0.000 0.000 Mg
0.250 0.000 0.000 Mg
0.327 0.500 0.846 Mg
0.673 0.500 0.154 Mg
0.827 0.846 0.500 Mg
0.173 0.154 0.500 Mg
0.750 0.500 0.500 Tl
0.250 0.500 0.500 Tl
0.429 0.845 0.298 Tl
0.571 0.155 0.702 Tl
0.929 0.298 0.845 Tl
0.071 0.702 0.155 Tl
0.227 0.845 0.702 Tl
0.773 0.155 0.298 Tl
0.273 0.298 0.155 Tl
0.727 0.702 0.845 Tl
```

Output
SG = No. 140
calculated volume = 25.44 Å³ per atom



Most stable structure among those shown: *2*.